No. 1
## LaCoIrAu2 (PBE-GGA)

Data for a relaxed structure of LaCoIrAu2.

Summary:
M_tot: 2.28 μB/f.u.
Energy relative to the elements: 670 meV/atom

Structure (POSCAR):
```
LaCoIrAu2
1.0
-3.766 -3.343 -1.103
3.183 -3.916 1.006
-1.493 0.054 4.934
La Co Au Ir
1 1 2 1
Direct
0.000 0.500 0.000
0.500 0.500 0.500
0.500 0.000 0.000
0.000 0.000 0.500
0.000 0.000 0.000
```

No. 2
## MnCo2IrAu (PBE-GGA)

Data for a relaxed structure of MnCo2IrAu.

Summary:
M_tot: 3.76 μB/f.u.
Energy relative to the elements: 1237 meV/atom

Structure (POSCAR):
```
MnCo2IrAu
1.0
-2.246 3.782 -0.645
-3.463 -2.426 -2.166
-2.054 -0.554 3.904
Mn Co Ir Au
1 2 1 1
Direct
0.000 0.500 0.000
0.000 0.000 0.500
0.500 0.000 0.000
0.000 0.000 0.000
0.500 0.500 0.500
```

No. 3
## CoMo2IrAu (PBE-GGA)

Data for a relaxed structure of CoMo2IrAu.

Summary:
M_tot: 0.74 μB/f.u.
Energy relative to the elements: 2301 meV/atom

Structure (POSCAR):
```
CoMo2IrAu
1.0
4.792 0.000 0.000
0.000 4.465 0.000
0.000 0.000 4.792
Co Au Mo Ir
1 1 2 1
Direct
0.000 0.500 0.000
0.000 0.000 0.000
0.500 0.000 0.000
0.000 0.000 0.500
0.500 0.500 0.500
```

No. 4
## CoNiIr2Au (PBE-GGA)

Data for a relaxed structure of CoNiIr2Au.

Summary:
M_tot: 4.82 μB/f.u.
Energy relative to the elements: 1559 meV/atom

Structure (POSCAR):
```
CoNiIr2Au
1.0
4.456 0.000 0.000
0.000 4.635 0.000
0.000 0.000 4.456
Au Ir Ni Co
1 2 1 1
Direct
0.000 0.500 0.000
0.500 0.000 0.000
0.000 0.000 0.500
0.000 0.000 0.000
0.500 0.500 0.500
```

No. 5
## CoSiIrAu2 (PBE-GGA)

Data for a relaxed structure of CoSiIrAu2.

Summary:
M_tot: 0.38 μB/f.u.
Uncorrected formation energy: 5.84 eV per formula unit

Structure (POSCAR):
```
CoSiIrAu2
1.0
-1.418 -3.889 -2.373
-1.390 -1.758 3.712
-4.292 1.974 -0.672
Au Ir Si Co
2 1 1 1
Direct
0.500 0.000 0.000
0.000 0.000 0.500
0.000 0.500 0.000
0.500 0.500 0.500
0.000 0.000 0.000
```

No. 6
## Ta2CoIrAu (PBE-GGA)

Data for a relaxed structure of Ta2CoIrAu.

Summary:
M_tot: 1.60 μB/f.u.
Energy relative to the elements: 2143 meV/atom

Structure (POSCAR):
```
Ta2CoIrAu
1.0
-4.069 2.580 -0.637
-0.834 -2.349 -4.191
-2.524 -3.388 2.401
Au Ta Co Ir
1 2 1 1
Direct
0.000 0.000 0.000
0.000 0.000 0.500
0.500 0.000 0.000
0.500 0.500 0.500
0.000 0.500 0.000
```

No. 7
## Th6Co3Ir2Au (PBE-GGA)

Data for a relaxed structure of Th6Co3Ir2Au.

Summary:
M_tot: 0.00 μB/f.u.
Energy relative to the elements: -550 meV/atom

Structure (POSCAR):
```
Th6Co3Ir2Au
1.0
-0.206 1.130 3.863
-3.155 -7.380 1.990
8.916 -1.624 -1.153
Th Ir Co Au
6 2 3 1
Direct
0.998 0.274 0.996
0.666 0.585 0.333
0.324 0.919 0.648
0.676 0.081 0.352
0.002 0.726 0.004
0.334 0.415 0.667
0.835 0.673 0.671
0.165 0.327 0.329
0.164 0.832 0.328
0.836 0.168 0.672
0.500 0.500 0.000
0.500 0.000 0.000
```

No. 8
## Ti2CoIrAu (PBE-GGA)

Data for a relaxed structure of Ti2CoIrAu.

Summary:
M_tot: 0.00 μB/f.u.
Energy relative to the elements: 301 meV/atom

Structure (POSCAR):
```
Ti2CoIrAu
1.0
4.380 0.000 0.000
0.000 4.506 0.000
0.000 0.000 4.380
Ir Ti Au Co
1 2 1 1
Direct
0.000 0.500 0.000
0.500 0.000 0.000
0.000 0.000 0.500
0.500 0.500 0.500
0.000 0.000 0.000
```

No. 9
## CoIrW2Au (PBE-GGA)

Data for a relaxed structure of CoIrW2Au.

Summary:
M_tot: 1.43 μB/f.u.
Energy relative to the elements: 2069 meV/atom

Structure (POSCAR):
```
CoIrW2Au
1.0
4.712 0.000 0.000
0.000 4.990 0.000
0.000 0.000 4.712
W Au Ir Co
2 1 1 1
Direct
0.000 0.000 0.500
0.500 0.000 0.000
0.000 0.500 0.000
0.000 0.000 0.000
0.500 0.500 0.500
```

No. 10
## KCo4Au (PBE-GGA)

Data for a relaxed structure of KCo4Au.

Summary:
M_tot: 7.19 μB/f.u.
Energy relative to the elements: 623 meV/atom

Structure (POSCAR):
```
KCo4Au
1.0
0.756 -3.161 3.869
-0.752 1.583 4.740
-3.937 -1.737 2.649
Co K Au
4 1 1
Direct
0.877 0.374 0.374
0.374 0.374 0.877
0.374 0.374 0.374
0.374 0.877 0.374
0.750 0.750 0.750
0.000 0.000 0.000
```

No. 11
## KCo2Au (PBE-GGA)

Data for a relaxed structure of KCo2Au.

Summary:
M_tot: 3.65 μB/f.u.
Energy relative to the elements: 998 meV/atom

Structure (POSCAR):
```
KCo2Au
1.0
-1.439 3.243 -3.793
-3.747 -1.992 -2.995
0.593 0.522 5.133
Co Au K
2 1 1
Direct
0.000 0.000 0.000
0.500 0.500 0.000
0.750 0.250 0.500
0.250 0.750 0.500
```

No. 12
## KCo2Au (PBE-GGA)

Data for a relaxed structure of KCo2Au.

Summary:
M_tot: 3.05 μB/f.u.
Energy relative to the elements: 373 meV/atom

Structure (POSCAR):
```
KCo2Au
1.0
4.154 -0.233 0.082
2.279 3.480 0.082
2.004 1.012 6.215
K Au Co
1 1 2
Direct
0.497 0.497 0.510
0.302 0.302 0.094
0.685 0.685 0.946
0.016 0.016 0.950
```

No. 13
## KCo2Au (PBE-GGA)

Data for a relaxed structure of KCo2Au.

Summary:
M_tot: 3.69 μB/f.u.
Energy relative to the elements: 612 meV/atom

Structure (POSCAR):
```
KCo2Au
1.0
-1.622 2.741 3.544
0.335 -2.200 1.855
5.962 1.339 1.693
K Co Au
1 2 1
Direct
0.500 0.250 0.250
0.000 0.527 0.618
0.000 0.973 0.882
0.500 0.750 0.750
```

No. 14
## KCo3Au (PBE-GGA)

Data for a relaxed structure of KCo3Au.

Summary:
M_tot: 4.63 μB/f.u.
Energy relative to the elements: 2269 meV/atom

Structure (POSCAR):
```
KCo3Au
1.0
-0.868 -0.486 4.297
2.395 -3.703 0.064
3.601 2.346 0.993
Au K Co
1 1 3
Direct
0.500 0.500 0.500
0.000 0.000 0.000
0.000 0.500 0.000
0.000 0.000 0.500
0.500 0.000 0.000
```

No. 15
## KCo2Au (PBE-GGA)

Data for a relaxed structure of KCo2Au.

Summary:
M_tot: 3.68 μB/f.u.
Energy relative to the elements: 700 meV/atom

Structure (POSCAR):
```
KCo2Au
1.0
-2.330 -0.057 2.509
1.717 -2.533 1.537
3.887 4.893 3.721
Co K Au
2 1 1
Direct
0.000 0.000 0.899
0.000 0.000 0.601
0.500 0.500 0.250
0.500 0.500 0.750
```

No. 16
## KCo2Au (PBE-GGA)

Data for a relaxed structure of KCo2Au.

Summary:
M_tot: 3.36 μB/f.u.
Energy relative to the elements: 871 meV/atom

Structure (POSCAR):
```
KCo2Au
1.0
-1.772 -0.543 1.976
-2.654 -3.130 -3.239
1.133 -5.757 -0.567
K Co Au
1 2 1
Direct
0.500 0.500 0.500
0.500 0.500 0.000
0.000 0.000 0.000
0.000 0.000 0.500
```

No. 17
## K4CoAu (PBE-GGA)

Data for a relaxed structure of K4CoAu.

Summary:
M_tot: 2.12 μB/f.u.
Energy relative to the elements: 792 meV/atom

Structure (POSCAR):
```
K4CoAu
1.0
0.000 5.025 5.025
5.025 0.000 5.025
5.025 5.025 0.000
K Co Au
4 1 1
Direct
0.375 0.375 0.375
0.874 0.375 0.375
0.375 0.375 0.874
0.375 0.874 0.375
0.000 0.000 0.000
0.750 0.750 0.750
```

No. 18
## KCo2Au (PBE-GGA)

Data for a relaxed structure of KCo2Au.

Summary:
M_tot: 3.39 μB/f.u.
Energy relative to the elements: 920 meV/atom

Structure (POSCAR):
```
KCo2Au
1.0
-2.734 -1.083 -4.483
2.713 -4.100 2.139
-2.157 -0.658 1.474
Au K Co
1 1 2
Direct
0.000 0.500 0.500
0.500 0.000 0.500
0.000 0.000 0.000
0.500 0.500 0.000
```

No. 19
## KCo2Au (PBE-GGA)

Data for a relaxed structure of KCo2Au.

Summary:
M_tot: 3.33 μB/f.u.
Energy relative to the elements: 875 meV/atom

Structure (POSCAR):
```
KCo2Au
1.0
-3.706 -0.315 -3.788
0.517 -4.554 3.442
-2.057 0.372 1.679
Co K Au
2 1 1
Direct
0.500 0.000 0.500
0.000 0.000 0.000
0.000 0.500 0.500
0.500 0.500 0.000
```

No. 20
## KCo2Au (PBE-GGA)

Data for a relaxed structure of KCo2Au.

Summary:
M_tot: 3.63 μB/f.u.
Energy relative to the elements: 774 meV/atom

Structure (POSCAR):
```
KCo2Au
1.0
-4.884 1.526 3.406
0.199 0.264 6.138
1.491 1.779 -5.692
Co K Au
2 1 1
Direct
0.466 0.466 0.000
0.034 0.034 0.000
0.750 0.250 0.500
0.250 0.750 0.500
```

No. 21
## KCo2Au (PBE-GGA)

Data for a relaxed structure of KCo2Au.

Summary:
M_tot: 3.40 μB/f.u.
Energy relative to the elements: 1036 meV/atom

Structure (POSCAR):
```
KCo2Au
1.0
-1.972 -4.135 -0.672
-3.141 -0.548 -3.358
1.047 -2.480 -3.767
K Co Au
1 2 1
Direct
0.000 0.000 0.000
0.250 0.250 0.250
0.750 0.750 0.750
0.500 0.500 0.500
```

No. 22
## KCo2Au (PBE-GGA)

Data for a relaxed structure of KCo2Au.

Summary:
M_tot: 3.25 μB/f.u.
Energy relative to the elements: 393 meV/atom

Structure (POSCAR):
```
KCo2Au
1.0
3.095 0.000 0.000
0.000 2.940 0.014
0.000 2.900 8.090
K Co Au
1 2 1
Direct
0.000 0.513 0.487
0.500 0.339 0.161
0.000 0.964 0.036
0.500 0.683 0.816
```

No. 23
## KCo2Au (PBE-GGA)

Data for a relaxed structure of KCo2Au.

Summary:
M_tot: 3.21 μB/f.u.
Energy relative to the elements: 398 meV/atom

Structure (POSCAR):
```
KCo2Au
1.0
-2.870 -1.270 -3.011
-2.362 -3.598 0.622
-5.856 1.584 1.834
K Au Co
1 1 2
Direct
0.750 0.750 0.750
0.250 0.250 0.250
0.571 0.571 0.286
0.929 0.929 0.214
```

No. 24
## KCoAu3 (PBE-GGA)

Data for a relaxed structure of KCoAu3.

Summary:
M_tot: 2.04 μB/f.u.
Energy relative to the elements: 242 meV/atom

Structure (POSCAR):
```
KCoAu3
1.0
-1.731 -3.663 2.857
4.553 -1.943 0.268
0.922 2.718 4.043
Co K Au
1 1 3
Direct
0.000 0.000 0.000
0.500 0.500 0.500
0.500 0.000 0.000
0.000 0.500 0.000
0.000 0.000 0.500
```

No. 25
## KCo2Au (PBE-GGA)

Data for a relaxed structure of KCo2Au.

Summary:
M_tot: 3.77 μB/f.u.
Energy relative to the elements: 685 meV/atom

Structure (POSCAR):
```
KCo2Au
1.0
4.624 0.000 0.000
0.000 4.624 0.000
2.312 2.312 9.128
K Au Co
2 2 4
Direct
0.250 0.750 0.500
0.500 0.500 0.000
0.750 0.250 0.500
0.000 0.000 0.000
0.875 0.125 0.250
0.375 0.125 0.750
0.875 0.125 0.750
0.875 0.625 0.250
```

No. 26
## KCo2Au (PBE-GGA)

Data for a relaxed structure of KCo2Au.

Summary:
M_tot: 3.52 μB/f.u.
Energy relative to the elements: 1012 meV/atom

Structure (POSCAR):
```
KCo2Au
1.0
4.688 0.000 0.000
2.344 4.060 0.000
2.344 1.353 3.828
K Co Au
1 2 1
Direct
0.750 0.750 0.750
0.250 0.250 0.250
0.000 0.000 0.000
0.500 0.500 0.500
```

No. 27
## KCo2Au (PBE-GGA)

Data for a relaxed structure of KCo2Au.

Summary:
M_tot: 3.56 μB/f.u.
Energy relative to the elements: 612 meV/atom

Structure (POSCAR):
```
KCo2Au
1.0
-1.306 -2.363 -0.353
-0.080 -0.589 4.245
-6.120 3.331 0.347
K Co Au
1 2 1
Direct
0.500 0.500 0.250
0.000 0.000 0.597
0.000 0.000 0.903
0.500 0.500 0.750
```

No. 28
## KCo2Au (PBE-GGA)

Data for a relaxed structure of KCo2Au.

Summary:
M_tot: 3.50 μB/f.u.
Energy relative to the elements: 641 meV/atom

Structure (POSCAR):
```
KCo2Au
1.0
-3.965 -2.479 -3.607
-1.418 -5.667 0.869
0.133 5.667 1.659
K Co Au
1 2 1
Direct
0.505 0.505 0.000
0.811 0.311 0.500
0.980 0.980 0.000
0.204 0.704 0.500
```

No. 29
## KCo2Au (PBE-GGA)

Data for a relaxed structure of KCo2Au.

Summary:
M_tot: 2.80 μB/f.u.
Energy relative to the elements: 877 meV/atom

Structure (POSCAR):
```
KCo2Au
1.0
10.159 -0.006 -0.003
9.770 2.784 -0.003
9.770 1.362 2.428
Co Au K
2 1 1
Direct
0.010 0.010 0.010
0.490 0.490 0.490
0.750 0.750 0.750
0.250 0.250 0.250
```